Crystalline AlSnW2 at its relaxed geometry. Source: the Alexandria database, functional PBE.

Computed properties:
Total magnetic moment = 0.0 Bohr magnetons per cell
Formation enthalpy at 0 K = 0.59 eV/atom
Raw total energy = -7.826 eV per atom
N(E_F) = 2.65 states/eV per cell

Cell: 4.5739 4.5739 4.5739 Å, 60.00 60.00 60.00°
Closest atoms and distances in Å follow each position.
Fractional coordinates of all 4 atoms:
Al 0.0000 0.0000 0.0000  8 W 2.80
Sn 0.5000 0.5000 0.5000  8 W 2.80
W 0.2500 0.2500 0.2500  4 Sn 2.80, 4 Al 2.80
W 0.7500 0.7500 0.7500  4 Sn 2.80, 4 Al 2.80